Entry 1:
Below is YMg2Cd after structural relaxation, with properties calculated at the GGA-PBE level.

Fermi-level density of states ... 0.7581 states/eV/atom
ΔH_f (0 K) ... -0.111 eV/atom
Size of the total moment ... 0.0 μB/f.u.

Lattice parameters (Å, degrees): 6.081 6.081 5.243 115.41 115.41 35.48
Positions (direct):
Y 0.000 0.000 0.000
Mg 0.230 0.230 0.730
Mg 0.770 0.770 0.270
Cd 0.500 0.500 0.500

=====

Entry 2:
Below is Al2CuSb after structural relaxation, with properties calculated at the GGA-PBE level.

Fermi-level density of states ... 0.3178 states/eV/atom
ΔE_f (raw) ... 0.066 eV per atom
Size of the total moment ... 0.0 μB/f.u.

Lattice parameters (Å, degrees): 4.561 4.561 6.297 111.17 111.17 40.35
Positions (direct):
Al 0.000 0.000 0.000
Al 0.203 0.203 0.720
Cu 0.734 0.734 0.055
Sb 0.396 0.396 0.442